The following is a PBE calculation of a relaxed CuRh2Cl crystal, from Alexandria via LeMat-Bulk.

Computed properties:
Energy above the lowest structure with this stoichiometry   0.0988 eV/atom

Cell and atoms, written as CIF:
```
data_CuRh2Cl
_cell_length_a 2.9074
_cell_length_b 2.9074
_cell_length_c 7.1565
_cell_angle_alpha 90.00
_cell_angle_beta 90.00
_cell_angle_gamma 90.00
_space_group_name_H-M_alt 'P 4 m m'
_space_group_IT_number 99
_space_group_name_Hall 'P 4 -2'
loop_
_atom_site_label
_atom_site_fract_x
_atom_site_fract_y
_atom_site_fract_z
_atom_site_occupancy
Cu1 0.0000 0.0000 0.0000 1
Rh1 0.0000 0.0000 0.4643 1
Rh2 0.5000 0.5000 0.2352 1
Cl1 0.5000 0.5000 0.7287 1
```



The following is a PBE calculation of a relaxed CoTcSb2 crystal, from Alexandria via LeMat-Bulk.

Computed properties:
Energy above the lowest structure with this stoichiometry   0.0575 eV/atom

Cell and atoms, written as CIF:
```
data_CoTcSb2
_cell_length_a 3.0844
_cell_length_b 3.0844
_cell_length_c 8.4769
_cell_angle_alpha 90.00
_cell_angle_beta 90.00
_cell_angle_gamma 90.00
_space_group_name_H-M_alt 'P 4 m m'
_space_group_IT_number 99
_space_group_name_Hall 'P 4 -2'
loop_
_atom_site_label
_atom_site_fract_x
_atom_site_fract_y
_atom_site_fract_z
_atom_site_occupancy
Co1 0.0000 0.0000 0.0000 1
Tc1 0.5000 0.5000 0.8352 1
Sb1 0.0000 0.0000 0.6184 1
Sb2 0.5000 0.5000 0.1878 1
```



The following is a PBE calculation of a relaxed NaCuI2F crystal, from Alexandria via LeMat-Bulk.

Computed properties:
Energy   -2.981 eV per atom

Cell and atoms, written as CIF:
```
data_NaCuI2F
_cell_length_a 5.5980
_cell_length_b 5.5980
_cell_length_c 3.9826
_cell_angle_alpha 90.00
_cell_angle_beta 90.00
_cell_angle_gamma 90.00
_space_group_name_H-M_alt 'P 4/m m m'
_space_group_IT_number 123
_space_group_name_Hall '-P 4 2'
loop_
_atom_site_label
_atom_site_fract_x
_atom_site_fract_y
_atom_site_fract_z
_atom_site_occupancy
Na1 0.0000 0.0000 0.0000 1
Cu1 0.5000 0.5000 0.5000 1
I1 0.0000 0.5000 0.5000 1
F1 0.5000 0.5000 0.0000 1
```



The following is a PBE calculation of a relaxed TaGa3 crystal, from Alexandria via LeMat-Bulk.

Computed properties:
ΔH_f (0 K)   0.020 eV per atom

Cell and atoms, written as CIF:
```
data_TaGa3
_cell_length_a 4.0342
_cell_length_b 4.0342
_cell_length_c 4.0342
_cell_angle_alpha 90.00
_cell_angle_beta 90.00
_cell_angle_gamma 90.00
_space_group_name_H-M_alt 'P m -3 m'
_space_group_IT_number 221
_space_group_name_Hall '-P 4 2 3'
loop_
_atom_site_label
_atom_site_fract_x
_atom_site_fract_y
_atom_site_fract_z
_atom_site_occupancy
Ta1 0.0000 0.0000 0.0000 1
Ga1 0.0000 0.5000 0.5000 1
```



Per-record spin magnetization, μB/atom: 0.107; 0.013; 0.000; 0.000